1.
! UBeSi PBE-GGA optimized geometry; values from VASP
! symmetry	F-43m (216)
&SYSTEM
  ibrav = 0, nat = 3, ntyp = 3
/
ATOMIC_SPECIES
Si 28.09 Si.upf
Be 9.01 Be.upf
U 238.03 U.upf
CELL_PARAMETERS angstrom
-2.1800 -3.4375 1.8170
-2.9350 0.7049 3.2802
-4.3608 -0.5263 -0.7598
ATOMIC_POSITIONS crystal
Si 0.7500 0.7500 0.7500
Be 0.2500 0.2500 0.2500
U 0.0000 0.0000 0.0000



2.
! Tm3Zn3Ir2Au PBE-GGA optimized geometry; values from VASP
! symmetry	P-62m (189)
! ΔH_f (0 K)	-0.73	eV/atom
&SYSTEM
  ibrav = 0, nat = 9, ntyp = 4
/
ATOMIC_SPECIES
Ir 192.22 Ir.upf
Zn 65.41 Zn.upf
Au 196.97 Au.upf
Tm 168.93 Tm.upf
CELL_PARAMETERS angstrom
-2.3790 -6.8096 -0.4078
4.7156 1.8772 5.1415
-2.8839 0.8681 2.3281
ATOMIC_POSITIONS crystal
Ir 0.3333 0.6667 0.5000
Ir 0.6667 0.3333 0.5000
Zn 0.7341 0.0000 0.5000
Zn 0.2659 0.2659 0.5000
Zn 0.0000 0.7341 0.5000
Au 0.0000 0.0000 0.0000
Tm 0.5902 0.5902 0.0000
Tm 0.0000 0.4098 0.0000
Tm 0.4098 0.0000 0.0000



3.
! Dy2HoCo2C2N3 PBE-GGA optimized geometry; values from VASP
! symmetry	I4/mmm (139)
&SYSTEM
  ibrav = 0, nat = 10, ntyp = 5
/
ATOMIC_SPECIES
Co 58.93 Co.upf
N 14.01 N.upf
Dy 162.50 Dy.upf
C 12.01 C.upf
Ho 164.93 Ho.upf
CELL_PARAMETERS angstrom
8.7514 3.2038 3.5646
5.8522 7.0991 3.8616
-7.9701 -5.8198 -1.4717
ATOMIC_POSITIONS crystal
Co 0.2500 0.7500 0.5000
Co 0.7500 0.2500 0.5000
N 0.8803 0.8803 0.0000
N 0.1197 0.1197 0.0000
N 0.5000 0.5000 0.0000
Dy 0.3730 0.3730 0.0000
Dy 0.6270 0.6270 0.0000
C 0.1935 0.1935 0.0000
C 0.8065 0.8065 0.0000
Ho 0.0000 0.0000 0.0000



4.
! LiCoAsIr PBE-GGA optimized geometry; values from VASP
! symmetry	F-43m (216)
&SYSTEM
  ibrav = 0, nat = 4, ntyp = 4
/
ATOMIC_SPECIES
Ir 192.22 Ir.upf
Li 6.94 Li.upf
As 74.92 As.upf
Co 58.93 Co.upf
CELL_PARAMETERS angstrom
0.0000 2.9658 2.9658
2.9658 0.0000 2.9658
2.9658 2.9658 0.0000
ATOMIC_POSITIONS crystal
Ir 0.5000 0.5000 0.5000
Li 0.2500 0.2500 0.2500
As 0.0000 0.0000 0.0000
Co 0.7500 0.7500 0.7500



no.,total DFT energy (no corrections) (eV/atom)
1,-6.02
2,-4.97
3,-8.08
4,-5.59